Computed, not measured: a geometry-optimized Ti3Al5Te12 structure at the PBE level of DFT.

Cell: 14.3933 14.3933 14.3933 Å, 109.47 109.47 109.47°
Last column: nearest neighbours and their distance in Å.
Atoms (fractional coordinates):
Ti: 0.1250 0.2500 0.3750  8 Te 3.10-3.13
Ti: 0.1250 0.3750 0.7500  8 Te 3.10-3.13
Ti: 0.2500 0.3750 0.1250  8 Te 3.10-3.13
Ti: 0.2500 0.8750 0.6250  8 Te 3.10-3.13
Ti: 0.3750 0.1250 0.2500  8 Te 3.10-3.13
Ti: 0.3750 0.7500 0.1250  8 Te 3.10-3.13
Ti: 0.6250 0.2500 0.8750  8 Te 3.10-3.13
Ti: 0.6250 0.8750 0.7500  8 Te 3.10-3.13
Ti: 0.7500 0.1250 0.3750  8 Te 3.10-3.13
Ti: 0.7500 0.6250 0.8750  8 Te 3.10-3.13
Ti: 0.8750 0.6250 0.2500  8 Te 3.10-3.13
Ti: 0.8750 0.7500 0.6250  8 Te 3.10-3.13
Al: 0.0000 0.0000 0.0000  6 Te 2.79
Al: 0.0000 0.0000 0.5000  6 Te 2.79
Al: 0.0000 0.5000 0.0000  6 Te 2.79
Al: 0.0000 0.5000 0.5000  6 Te 2.79
Al: 0.1250 0.7500 0.8750  4 Te 2.61
Al: 0.1250 0.8750 0.2500  4 Te 2.61
Al: 0.2500 0.1250 0.8750  4 Te 2.61
Al: 0.2500 0.6250 0.3750  4 Te 2.61
Al: 0.3750 0.2500 0.6250  4 Te 2.61
Al: 0.3750 0.6250 0.7500  4 Te 2.61
Al: 0.5000 0.0000 0.0000  6 Te 2.79
Al: 0.5000 0.0000 0.5000  6 Te 2.79
Al: 0.5000 0.5000 0.0000  6 Te 2.79
Al: 0.5000 0.5000 0.5000  6 Te 2.79
Al: 0.6250 0.3750 0.2500  4 Te 2.61
Al: 0.6250 0.7500 0.3750  4 Te 2.61
Al: 0.7500 0.3750 0.6250  4 Te 2.61
Al: 0.7500 0.8750 0.1250  4 Te 2.61
Al: 0.8750 0.1250 0.7500  4 Te 2.61
Al: 0.8750 0.2500 0.1250  4 Te 2.61
Te: 0.0449 0.2193 0.1306  2 Al 2.61-2.79
Te: 0.0449 0.3256 0.9143  2 Al 2.61-2.79
Te: 0.0857 0.6306 0.4113  2 Al 2.61-2.79
Te: 0.0857 0.9551 0.6744  2 Al 2.61-2.79
Te: 0.0887 0.7193 0.6744  2 Al 2.61-2.79
Te: 0.0887 0.8694 0.4143  2 Al 2.61-2.79
Te: 0.1306 0.0449 0.2193  2 Al 2.61-2.79
Te: 0.1306 0.5857 0.9113  2 Al 2.61-2.79
Te: 0.1744 0.2193 0.5887  2 Al 2.61-2.79
Te: 0.1744 0.4551 0.5857  2 Al 2.61-2.79
Te: 0.2193 0.1306 0.0449  2 Al 2.61-2.79
Te: 0.2193 0.5887 0.1744  2 Al 2.61-2.79
Te: 0.2807 0.3256 0.9113  2 Al 2.61-2.79
Te: 0.2807 0.4551 0.3694  2 Al 2.61-2.79
Te: 0.3256 0.9113 0.2807  2 Al 2.61-2.79
Te: 0.3256 0.9143 0.0449  2 Al 2.61-2.79
Te: 0.3694 0.2807 0.4551  2 Al 2.61-2.79
Te: 0.3694 0.5887 0.9143  2 Al 2.61-2.79
Te: 0.4113 0.0857 0.6306  2 Al 2.61-2.79
Te: 0.4113 0.8256 0.7807  2 Al 2.61-2.79
Te: 0.4143 0.0887 0.8694  2 Al 2.61-2.79
Te: 0.4143 0.8256 0.5449  2 Al 2.61-2.79
Te: 0.4551 0.3694 0.2807  2 Al 2.61-2.79
Te: 0.4551 0.5857 0.1744  2 Al 2.61-2.79
Te: 0.5449 0.4143 0.8256  2 Al 2.61-2.79
Te: 0.5449 0.6306 0.7193  2 Al 2.61-2.79
Te: 0.5857 0.1744 0.4551  2 Al 2.61-2.79
Te: 0.5857 0.9113 0.1306  2 Al 2.61-2.79
Te: 0.5887 0.1744 0.2193  2 Al 2.61-2.79
Te: 0.5887 0.9143 0.3694  2 Al 2.61-2.79
Te: 0.6306 0.4113 0.0857  2 Al 2.61-2.79
Te: 0.6306 0.7193 0.5449  2 Al 2.61-2.79
Te: 0.6744 0.0857 0.9551  2 Al 2.61-2.79
Te: 0.6744 0.0887 0.7193  2 Al 2.61-2.79
Te: 0.7193 0.5449 0.6306  2 Al 2.61-2.79
Te: 0.7193 0.6744 0.0887  2 Al 2.61-2.79
Te: 0.7807 0.4113 0.8256  2 Al 2.61-2.79
Te: 0.7807 0.8694 0.9551  2 Al 2.61-2.79
Te: 0.8256 0.5449 0.4143  2 Al 2.61-2.79
Te: 0.8256 0.7807 0.4113  2 Al 2.61-2.79
Te: 0.8694 0.4143 0.0887  2 Al 2.61-2.79
Te: 0.8694 0.9551 0.7807  2 Al 2.61-2.79
Te: 0.9113 0.1306 0.5857  2 Al 2.61-2.79
Te: 0.9113 0.2807 0.3256  2 Al 2.61-2.79
Te: 0.9143 0.0449 0.3256  2 Al 2.61-2.79
Te: 0.9143 0.3694 0.5887  2 Al 2.61-2.79
Te: 0.9551 0.6744 0.0857  2 Al 2.61-2.79
Te: 0.9551 0.7807 0.8694  2 Al 2.61-2.79

Results
For the magnetic moment, the calculation gives 11.995 Bohr magnetons per cell. The total energy is -345.65 eV for the cell shown. Its raw formation energy is -0.32 eV/atom.

=====

Computed, not measured: a geometry-optimized LiGeSbTe2 structure at the PBE level of DFT.

Cell: 5.5274 5.5274 5.3724 Å, 90.00 90.00 90.00°
Last column: nearest neighbours and their distance in Å.
Atoms (fractional coordinates):
Li: 0.0000 0.0000 0.0000  8 Te 3.85, 4 Sb 3.91
Ge: 0.5000 0.5000 0.5000  2 Sb 2.69, 4 Te 2.76
Sb: 0.5000 0.5000 0.0000  2 Ge 2.69
Te: 0.0000 0.5000 0.5000  2 Ge 2.76
Te: 0.5000 0.0000 0.5000  2 Ge 2.76

Results
For the magnetic moment, the calculation gives 0.000 Bohr magnetons per cell. The total energy is -15.60 eV for the cell shown. Its raw formation energy is 0.27 eV/atom.

=====

Computed, not measured: a geometry-optimized La2BPb structure at the PBE level of DFT.

Cell: 5.3541 5.3541 5.3541 Å, 60.00 60.00 60.00°
Last column: nearest neighbours and their distance in Å.
Atoms (fractional coordinates):
La: 0.2500 0.2500 0.2500  4 Pb 3.28, 4 B 3.28
La: 0.7500 0.7500 0.7500  4 B 3.28, 4 Pb 3.28
B: 0.0000 0.0000 0.0000  8 La 3.28
Pb: 0.5000 0.5000 0.5000  8 La 3.28

Results
For the magnetic moment, the calculation gives 0.000 Bohr magnetons per cell. The total energy is -19.42 eV for the cell shown. The energy relative to the elements comes out at 0.8 eV per formula unit.

=====

Computed, not measured: a geometry-optimized CuAgRh2 structure at the PBE level of DFT.

Cell: 5.6595 5.6595 5.6595 Å, 101.53 101.53 126.89°
Last column: nearest neighbours and their distance in Å.
Atoms (fractional coordinates):
Cu: 0.0000 0.0000 0.0000  4 Rh 2.42, 2 Ag 2.53
Cu: 0.7500 0.2500 0.5000  4 Rh 2.42, 2 Ag 2.53
Ag: 0.2500 0.7500 0.5000  2 Cu 2.53, 4 Rh 2.81
Ag: 0.5000 0.5000 0.0000  2 Cu 2.53, 4 Rh 2.81
Rh: 0.0854 0.6250 0.9604  2 Cu 2.42, 2 Rh 2.59
Rh: 0.3750 0.3354 0.4604  2 Cu 2.42, 2 Rh 2.59
Rh: 0.6646 0.1250 0.0396  2 Cu 2.42, 2 Rh 2.59
Rh: 0.8750 0.9146 0.5396  2 Cu 2.42, 2 Rh 2.59

Results
For the magnetic moment, the calculation gives 2.672 Bohr magnetons per cell. The total energy is -38.39 eV for the cell shown. The energy relative to the elements comes out at 2.5 eV per formula unit.